A relaxed structure of LiNpGeRu, computed with PBE.

a b c (Å): 4.566 4.566 4.566
angles (deg): 60.00 60.00 60.00
Fractional coordinates of all 4 atoms:
Li 0.000 0.000 0.000
Np 0.250 0.250 0.250
Ge 0.750 0.750 0.750
Ru 0.500 0.500 0.500

Properties
The calculation puts the formation energy at -19 kJ/mol of formula units. Its crystal system is cubic. The calculated volume comes out at 67 Å³ per cell. As for the space group: F-43m (216).